1.
# LaTmAgPt, optimized geometry, DFT PBE
# N(E_F): 0.4222 states/eV/atom
# Crystal system: cubic
# Magnetization: 0.000 μB per atom
# Volume: 23.87 Å³/atom
# E_form: -0.72 eV per atom
data_LaTmAgPt
_cell_length_a 7.2552
_cell_length_b 7.2552
_cell_length_c 7.2552
_cell_angle_alpha 90.00
_cell_angle_beta 90.00
_cell_angle_gamma 90.00
_symmetry_space_group_name_H-M 'F -4 3 m'
_symmetry_Int_Tables_number 216
_symmetry_space_group_name_Hall 'F -4 2 3'
loop_
_atom_site_label
_atom_site_fract_x
_atom_site_fract_y
_atom_site_fract_z
_atom_site_occupancy
La1 0.0000 0.0000 0.0000 1
Tm1 0.0000 0.0000 0.5000 1
Ag1 0.2500 0.2500 0.2500 1
Pt1 0.2500 0.2500 0.7500 1


2.
# LaV2AgPt, optimized geometry, DFT PBE
# N(E_F): 0.9194 states/eV/atom
# Crystal system: tetragonal
# Magnetization: 0.982 μB per atom
# Volume: 23.93 Å³/atom
# E_form: 0.40 eV per atom
data_LaV2AgPt
_cell_length_a 4.8100
_cell_length_b 4.8100
_cell_length_c 5.1714
_cell_angle_alpha 90.00
_cell_angle_beta 90.00
_cell_angle_gamma 90.00
_symmetry_space_group_name_H-M 'P 4/m m m'
_symmetry_Int_Tables_number 123
_symmetry_space_group_name_Hall '-P 4 2'
loop_
_atom_site_label
_atom_site_fract_x
_atom_site_fract_y
_atom_site_fract_z
_atom_site_occupancy
La1 0.0000 0.0000 0.0000 1
V1 0.0000 0.5000 0.5000 1
Ag1 0.5000 0.5000 0.0000 1
Pt1 0.5000 0.5000 0.5000 1


3.
# LaAg2PtW, optimized geometry, DFT PBE
# N(E_F): 0.6693 states/eV/atom
# Crystal system: tetragonal
# Magnetization: 0.812 μB per atom
# Volume: 27.89 Å³/atom
# E_form: 1.07 eV per atom
data_LaAg2PtW
_cell_length_a 5.1482
_cell_length_b 5.1482
_cell_length_c 5.2611
_cell_angle_alpha 90.00
_cell_angle_beta 90.00
_cell_angle_gamma 90.00
_symmetry_space_group_name_H-M 'P 4/m m m'
_symmetry_Int_Tables_number 123
_symmetry_space_group_name_Hall '-P 4 2'
loop_
_atom_site_label
_atom_site_fract_x
_atom_site_fract_y
_atom_site_fract_z
_atom_site_occupancy
La1 0.0000 0.0000 0.0000 1
Ag1 0.0000 0.5000 0.5000 1
Pt1 0.0000 0.0000 0.5000 1
W1 0.5000 0.5000 0.0000 1


So what do the calculations give for final energy? Going down the list: -84.682; -30.045; -24.298 eV per cell.